Entry 1:
TlCrNi2 | Alexandria | GGA-PBE | optimized geometry; space-group type = I-42d, No. 122; total magnetic moment = 0.818 μB/atom; E_tot = -5.257 eV per atom; formation enthalpy at 0 K = 0.632 eV/atom; mass density = 9780 kg/m³
1.0
-3.427 3.427 2.702
3.427 -3.427 2.702
3.427 3.427 -2.702
Tl Cr Ni
2 2 4
direct
0.000 0.000 0.000
0.750 0.250 0.500
0.250 0.750 0.500
0.500 0.500 0.000
0.157 0.125 0.532
0.375 0.843 0.968
0.593 0.625 0.468
0.875 0.407 0.032


Entry 2:
TlCrNi2 | Alexandria | GGA-PBE | optimized geometry; space-group type = R-3m, No. 166; total magnetic moment = 0.692 μB/atom; E_tot = -5.336 eV per atom; formation enthalpy at 0 K = 0.552 eV/atom; mass density = 10187 kg/m³
1.0
1.470 0.849 8.135
-1.470 0.849 8.135
0.000 -1.698 8.135
Tl Cr Ni
1 1 2
direct
0.000 0.000 0.000
0.500 0.500 0.500
0.241 0.241 0.241
0.759 0.759 0.759


Entry 3:
TlCrNi | Alexandria | GGA-PBE | optimized geometry; space-group type = I4mm, No. 107; total magnetic moment = 1.238 μB/atom; E_tot = -5.474 eV per atom; formation enthalpy at 0 K = 0.449 eV/atom; mass density = 10731 kg/m³
1.0
-1.644 1.644 4.510
1.644 -1.644 4.510
1.644 1.644 -4.510
Tl Cr Ni
1 1 1
direct
0.000 0.000 0.000
0.689 0.689 0.000
0.325 0.325 0.000


Entry 4:
TlCrNi2 | Alexandria | GGA-PBE | optimized geometry; space-group type = I4/mmm, No. 139; total magnetic moment = 0.977 μB/atom; E_tot = -5.587 eV per atom; formation enthalpy at 0 K = 0.301 eV/atom; mass density = 10705 kg/m³
1.0
-2.055 2.055 3.431
2.055 -2.055 3.431
2.055 2.055 -3.431
Tl Cr Ni
1 1 2
direct
0.000 0.000 0.000
0.500 0.500 0.000
0.250 0.750 0.500
0.750 0.250 0.500


Entry 5:
TlCr2Ni | Alexandria | GGA-PBE | optimized geometry; space-group type = R-3m, No. 166; total magnetic moment = 1.634 μB/atom; E_tot = -6.125 eV per atom; formation enthalpy at 0 K = 0.723 eV/atom; mass density = 9203 kg/m³
1.0
1.519 0.877 8.283
-1.519 0.877 8.283
0.000 -1.754 8.283
Tl Cr Ni
1 2 1
direct
0.000 0.000 0.000
0.238 0.238 0.238
0.762 0.762 0.762
0.500 0.500 0.500


Entry 6:
TlCrNi2 | Alexandria | GGA-PBE | optimized geometry; space-group type = C2/m, No. 12; total magnetic moment = 0.715 μB/atom; E_tot = -5.490 eV per atom; formation enthalpy at 0 K = 0.398 eV/atom; mass density = 10435 kg/m³
1.0
4.157 -1.521 0.000
4.157 1.521 0.000
-1.093 0.000 4.704
Tl Cr Ni
1 1 2
direct
0.000 0.000 0.000
0.500 0.500 0.500
0.238 0.238 0.701
0.762 0.762 0.299


Entry 7:
TlCrNi2 | Alexandria | GGA-PBE | optimized geometry; space-group type = F-43m, No. 216; total magnetic moment = 0.910 μB/atom; E_tot = -5.478 eV per atom; formation enthalpy at 0 K = 0.410 eV/atom; mass density = 10558 kg/m³
1.0
0.000 3.086 3.086
3.086 0.000 3.086
3.086 3.086 0.000
Tl Cr Ni
1 1 2
direct
0.000 0.000 0.000
0.750 0.750 0.750
0.250 0.250 0.250
0.500 0.500 0.500


Entry 8:
TlCrNi2 | Alexandria | GGA-PBE | optimized geometry; space-group type = Fm-3m, No. 225; total magnetic moment = 0.893 μB/atom; E_tot = -5.585 eV per atom; formation enthalpy at 0 K = 0.303 eV/atom; mass density = 10715 kg/m³
1.0
0.000 3.071 3.071
3.071 0.000 3.071
3.071 3.071 0.000
Tl Cr Ni
1 1 2
direct
0.000 0.000 0.000
0.500 0.500 0.500
0.250 0.250 0.250
0.750 0.750 0.750


Entry 9:
TlCrNi2 | Alexandria | GGA-PBE | optimized geometry; space-group type = I-4m2, No. 119; total magnetic moment = 0.940 μB/atom; E_tot = -5.555 eV per atom; formation enthalpy at 0 K = 0.333 eV/atom; mass density = 10657 kg/m³
1.0
-1.908 1.908 3.999
1.908 -1.908 3.999
1.908 1.908 -3.999
Tl Cr Ni
1 1 2
direct
0.000 0.000 0.000
0.250 0.750 0.500
0.500 0.500 0.000
0.750 0.250 0.500


Entry 10:
TlCr4Ni | Alexandria | GGA-PBE | optimized geometry; space-group type = F-43m, No. 216; total magnetic moment = 0.000 μB/atom; E_tot = -7.231 eV per atom; formation enthalpy at 0 K = 0.543 eV/atom; mass density = 9671 kg/m³
1.0
0.000 3.432 3.432
3.432 0.000 3.432
3.432 3.432 0.000
Tl Cr Ni
1 4 1
direct
0.000 0.000 0.000
0.132 0.623 0.623
0.623 0.132 0.623
0.623 0.623 0.132
0.623 0.623 0.623
0.250 0.250 0.250


Entry 11:
TlCr2Ni | Alexandria | GGA-PBE | optimized geometry; space-group type = Pmmm, No. 47; total magnetic moment = 0.000 μB/atom; E_tot = -6.332 eV per atom; formation enthalpy at 0 K = 0.516 eV/atom; mass density = 10279 kg/m³
1.0
2.852 0.000 0.000
0.000 3.965 0.000
0.000 0.000 5.244
Tl Cr Ni
1 2 1
direct
0.000 0.000 0.000
0.500 0.500 0.318
0.500 0.500 0.682
0.000 0.000 0.500


Entry 12:
TlCr2Ni | Alexandria | GGA-PBE | optimized geometry; space-group type = P4/mmm, No. 123; total magnetic moment = 1.811 μB/atom; E_tot = -6.314 eV per atom; formation enthalpy at 0 K = 0.535 eV/atom; mass density = 9386 kg/m³
1.0
3.021 0.000 0.000
0.000 3.021 0.000
0.000 0.000 7.117
Tl Cr Ni
1 2 1
direct
0.000 0.000 0.000
0.500 0.500 0.299
0.500 0.500 0.701
0.000 0.000 0.500